#w
Ni3Pt4 | the Alexandria database | GGA-PBE | optimized geometry; symmetry = No. 12; Fermi-level density of states = 11.537 states/eV per cell
1.0
-1.9925 2.0105 3.2245
-4.2520 -0.3574 0.4500
-1.2851 -4.4360 4.8184
Ni Pt
3 4
Direct
0.2754 0.2773 0.1706 Ni
0.7246 0.7227 0.8294 Ni
0.0000 0.0000 0.0000 Ni
0.5886 0.5900 0.2318 Pt
0.8624 0.8630 0.4119 Pt
0.1376 0.1370 0.5881 Pt
0.4114 0.4100 0.7682 Pt

=====

#x
Ni3Pt4 | the Alexandria database | GGA-PBE | optimized geometry; symmetry = No. 191; Fermi-level density of states = 12.346 states/eV per cell
1.0
1.0659 3.5860 -2.8624
-1.4798 0.8505 4.3904
4.8035 -0.1173 1.6418
Ni Pt
3 4
Direct
0.0000 0.5000 0.0000 Ni
0.5000 0.5000 0.0000 Ni
0.5000 0.0000 0.0000 Ni
0.0000 0.0000 0.2525 Pt
0.0000 0.0000 0.7475 Pt
0.6667 0.3333 0.5000 Pt
0.3333 0.6667 0.5000 Pt

=====

#y
Ni3Pt4 | the Alexandria database | GGA-PBE | optimized geometry; symmetry = No. 139; Fermi-level density of states = 10.597 states/eV per cell
1.0
-1.6097 1.6097 9.4117
1.6097 -1.6097 9.4117
1.6097 1.6097 -9.4117
Ni Pt
3 4
Direct
0.0000 0.0000 0.0000 Ni
0.7155 0.7155 0.0000 Ni
0.2845 0.2845 0.0000 Ni
0.8499 0.8499 0.0000 Pt
0.5709 0.5709 0.0000 Pt
0.4291 0.4291 0.0000 Pt
0.1501 0.1501 0.0000 Pt

=====

Among the structures above, stability is greatest for #y.